## KYW2O (GGA+U)

Data for a relaxed structure of KYW2O.

```
KYW2O
1.0
5.7833 0.0000 0.0000
0.0000 5.7833 0.0000
0.0000 0.0000 4.3691
K Y W O
1 1 2 1
Cartesian
0.0000 0.0000 0.0000
2.8917 2.8917 2.1845
0.0000 2.8917 0.0000
2.8917 0.0000 0.0000
0.0000 0.0000 2.1845
```

The total moment comes out at 1.925 μB per atom. The calculation puts the uncorrected energy at -17.8 eV per cell.